(1)
! In2TeW PBE-GGA relaxed; values from VASP
&SYSTEM
  ibrav = 0, nat = 4, ntyp = 3
/
ATOMIC_SPECIES
In 114.82 In.upf
Te 127.60 Te.upf
W 183.84 W.upf
ATOMIC_POSITIONS crystal
In 0.739 0.239 0.500
In 0.072 0.072 0.000
Te 0.426 0.426 0.000
W 0.264 0.764 0.500
CELL_PARAMETERS angstrom
-3.580 1.361 -6.163
-2.970 -4.253 -5.074
0.864 2.538 6.743
! Formation energy (no corrections) = 0.411 eV/atom
! VASP energy = -19.928 eV per cell
! ρ = 8.84 g/cm³



(2)
! In2TeW PBE-GGA relaxed; values from VASP
&SYSTEM
  ibrav = 0, nat = 4, ntyp = 3
/
ATOMIC_SPECIES
In 114.82 In.upf
W 183.84 W.upf
Te 127.60 Te.upf
ATOMIC_POSITIONS crystal
In 0.010 0.010 0.010
In 0.490 0.490 0.490
W 0.750 0.750 0.750
Te 0.250 0.250 0.250
CELL_PARAMETERS angstrom
10.840 0.025 0.015
10.383 3.114 0.015
10.383 1.535 2.709
! Formation energy (no corrections) = 0.588 eV/atom
! VASP energy = -19.219 eV per cell
! ρ = 9.96 g/cm³



(3)
! InTeW2 PBE-GGA relaxed; values from VASP
&SYSTEM
  ibrav = 0, nat = 4, ntyp = 3
/
ATOMIC_SPECIES
W 183.84 W.upf
In 114.82 In.upf
Te 127.60 Te.upf
ATOMIC_POSITIONS crystal
W 0.495 0.495 0.495
W 0.005 0.005 0.005
In 0.250 0.250 0.250
Te 0.750 0.750 0.750
CELL_PARAMETERS angstrom
-6.812 -0.681 -6.155
-6.518 -3.674 -5.365
-8.270 -1.774 -3.636
! Formation energy (no corrections) = 0.803 eV/atom
! VASP energy = -28.574 eV per cell
! ρ = 13.40 g/cm³



(4)
! InTeW2 PBE-GGA relaxed; values from VASP
&SYSTEM
  ibrav = 0, nat = 4, ntyp = 3
/
ATOMIC_SPECIES
Te 127.60 Te.upf
W 183.84 W.upf
In 114.82 In.upf
ATOMIC_POSITIONS crystal
Te 0.500 0.500 0.500
W 0.750 0.750 0.750
W 0.250 0.250 0.250
In 0.000 0.000 0.000
CELL_PARAMETERS angstrom
0.000 3.330 3.330
3.330 0.000 3.330
3.330 3.330 0.000
! Formation energy (no corrections) = 0.907 eV/atom
! VASP energy = -28.159 eV per cell
! ρ = 13.72 g/cm³



(5)
! In2TeW PBE-GGA relaxed; values from VASP
&SYSTEM
  ibrav = 0, nat = 4, ntyp = 3
/
ATOMIC_SPECIES
In 114.82 In.upf
Te 127.60 Te.upf
W 183.84 W.upf
ATOMIC_POSITIONS crystal
In 0.000 0.000 0.953
In 0.000 0.000 0.547
Te 0.500 0.500 0.250
W 0.500 0.500 0.750
CELL_PARAMETERS angstrom
-1.434 2.428 1.289
-2.560 -0.649 -1.624
-3.134 -5.677 7.208
! Formation energy (no corrections) = 0.600 eV/atom
! VASP energy = -19.173 eV per cell
! ρ = 9.64 g/cm³



(6)
! InTeW2 PBE-GGA relaxed; values from VASP
&SYSTEM
  ibrav = 0, nat = 4, ntyp = 3
/
ATOMIC_SPECIES
W 183.84 W.upf
Te 127.60 Te.upf
In 114.82 In.upf
ATOMIC_POSITIONS crystal
W 0.032 0.032 0.021
W 0.722 0.722 0.715
Te 0.265 0.265 0.208
In 0.481 0.481 0.556
CELL_PARAMETERS angstrom
5.304 0.017 -0.052
4.279 3.134 -0.052
1.764 0.580 4.776
! Formation energy (no corrections) = 0.677 eV/atom
! VASP energy = -29.080 eV per cell
! ρ = 12.77 g/cm³



(7)
! In2TeW PBE-GGA relaxed; values from VASP
&SYSTEM
  ibrav = 0, nat = 4, ntyp = 3
/
ATOMIC_SPECIES
In 114.82 In.upf
W 183.84 W.upf
Te 127.60 Te.upf
ATOMIC_POSITIONS crystal
In 0.000 0.251 0.550
In 0.000 0.249 0.950
W 0.500 0.750 0.750
Te 0.500 0.250 0.250
CELL_PARAMETERS angstrom
3.400 0.000 0.000
0.000 2.985 -0.275
0.000 0.852 9.155
! Formation energy (no corrections) = 0.500 eV/atom
! VASP energy = -19.573 eV per cell
! ρ = 9.59 g/cm³



(8)
! In2TeW PBE-GGA relaxed; values from VASP
&SYSTEM
  ibrav = 0, nat = 4, ntyp = 3
/
ATOMIC_SPECIES
In 114.82 In.upf
W 183.84 W.upf
Te 127.60 Te.upf
ATOMIC_POSITIONS crystal
In 0.250 0.750 0.500
In 0.000 0.000 0.000
W 0.750 0.250 0.500
Te 0.500 0.500 0.000
CELL_PARAMETERS angstrom
5.318 0.001 0.000
1.312 5.154 0.000
-3.315 -2.577 3.264
! Formation energy (no corrections) = 0.822 eV/atom
! VASP energy = -18.282 eV per cell
! ρ = 10.04 g/cm³



(9)
! In2TeW PBE-GGA relaxed; values from VASP
&SYSTEM
  ibrav = 0, nat = 4, ntyp = 3
/
ATOMIC_SPECIES
Te 127.60 Te.upf
In 114.82 In.upf
W 183.84 W.upf
ATOMIC_POSITIONS crystal
Te 0.000 0.000 0.554
In 0.000 0.000 0.968
In 0.500 0.500 0.227
W 0.500 0.500 0.751
CELL_PARAMETERS angstrom
-1.996 1.251 2.092
1.758 -2.369 1.106
7.581 7.039 3.024
! Formation energy (no corrections) = 0.505 eV/atom
! VASP energy = -19.550 eV per cell
! ρ = 9.25 g/cm³



(10)
! InTeW2 PBE-GGA relaxed; values from VASP
&SYSTEM
  ibrav = 0, nat = 4, ntyp = 3
/
ATOMIC_SPECIES
W 183.84 W.upf
Te 127.60 Te.upf
In 114.82 In.upf
ATOMIC_POSITIONS crystal
W 0.000 0.000 0.000
W 0.000 0.000 0.500
Te 0.500 0.500 0.750
In 0.500 0.500 0.250
CELL_PARAMETERS angstrom
-0.723 -2.889 0.194
1.921 0.519 -2.225
7.156 -1.396 5.853
! Formation energy (no corrections) = 1.041 eV/atom
! VASP energy = -27.622 eV per cell
! ρ = 13.11 g/cm³



(11)
! In3TeW PBE-GGA relaxed; values from VASP
&SYSTEM
  ibrav = 0, nat = 5, ntyp = 3
/
ATOMIC_SPECIES
W 183.84 W.upf
In 114.82 In.upf
Te 127.60 Te.upf
ATOMIC_POSITIONS crystal
W 0.000 0.000 0.000
In 0.000 0.000 0.500
In 0.000 0.500 0.000
In 0.500 0.000 0.000
Te 0.500 0.500 0.500
CELL_PARAMETERS angstrom
5.419 0.000 0.000
0.000 5.419 0.000
0.000 0.000 5.419
! Formation energy (no corrections) = 0.774 eV/atom
! VASP energy = -20.439 eV per cell
! ρ = 6.84 g/cm³



(12)
! InTeW PBE-GGA relaxed; values from VASP
&SYSTEM
  ibrav = 0, nat = 3, ntyp = 3
/
ATOMIC_SPECIES
Te 127.60 Te.upf
W 183.84 W.upf
In 114.82 In.upf
ATOMIC_POSITIONS crystal
Te 0.306 0.306 0.694
W 0.673 0.673 0.327
In 0.021 0.021 0.979
CELL_PARAMETERS angstrom
8.564 0.038 -0.026
7.788 2.991 -0.023
0.776 -1.067 2.753
! Formation energy (no corrections) = 0.688 eV/atom
! VASP energy = -16.771 eV per cell
! ρ = 10.14 g/cm³